TmCuNi4Ge2: relaxed, PBE-GGA.

Structure (POSCAR):
```
TmCuNi4Ge2
1.0
-1.134 -1.204 -3.646
2.592 -1.922 -2.369
-1.940 -8.131 1.091
Ge Tm Ni Cu
2 1 4 1
Direct
0.241 0.241 0.276
0.759 0.759 0.724
0.000 0.000 0.000
0.403 0.403 0.790
0.597 0.597 0.210
0.131 0.131 0.607
0.869 0.869 0.393
0.500 0.500 0.500
```

Output
Energy relative to the elements, meV per atom: -358
SG: R-3m

=====

Tm2CuNi3Ge4: relaxed, PBE-GGA.

Structure (POSCAR):
```
Tm2CuNi3Ge4
1.0
4.050 0.000 0.000
0.000 4.050 0.000
0.000 0.000 9.776
Ge Ni Cu Tm
4 3 1 2
Direct
0.500 0.000 0.637
0.500 0.500 0.000
0.000 0.000 0.000
0.000 0.500 0.363
0.000 0.000 0.500
0.500 0.000 0.874
0.000 0.500 0.126
0.500 0.500 0.500
0.000 0.500 0.749
0.500 0.000 0.251
```

Output
Energy relative to the elements, meV per atom: -620
SG: P-4m2

=====

Tm2CuNi4Ge3: relaxed, PBE-GGA.

Structure (POSCAR):
```
Tm2CuNi4Ge3
1.0
-3.618 1.636 -0.273
-1.605 -3.618 -0.420
-1.041 -0.673 9.762
Ni Cu Tm Ge
4 1 2 3
Direct
0.500 0.500 0.000
0.000 0.000 0.000
0.000 0.500 0.366
0.500 0.000 0.634
0.500 0.500 0.500
0.000 0.500 0.746
0.500 0.000 0.254
0.000 0.000 0.500
0.500 0.000 0.868
0.000 0.500 0.132
```

Output
Energy relative to the elements, meV per atom: -590
SG: P-4m2

=====

Tm2Cu3NiGe4: relaxed, PBE-GGA.

Structure (POSCAR):
```
Tm2Cu3NiGe4
1.0
4.048 0.000 0.000
0.000 4.048 0.000
0.000 0.000 10.135
Ni Ge Cu Tm
1 4 3 2
Direct
0.500 0.500 0.500
0.000 0.000 0.000
0.500 0.500 0.000
0.000 0.500 0.371
0.500 0.000 0.629
0.000 0.000 0.500
0.000 0.500 0.140
0.500 0.000 0.860
0.500 0.000 0.261
0.000 0.500 0.739
```

Output
Energy relative to the elements, meV per atom: -474
SG: P-4m2